VASP calculation (PBE-GGA) on Pm2HgAu6 after structural relaxation.

```
9
Lattice="5.6287 -3.2503 0.0000 5.6287 3.2503 0.0000 -0.0021 0.0000 5.5235" Properties=species:S:1:pos:R:3 pbc="T T T"
Pm 1.8775 0.0000 1.8071
Pm 9.3777 0.0000 3.7165
Hg 5.6276 0.0000 2.7618
Au 4.5723 1.8358 0.9641
Au 6.6830 1.8358 4.5595
Au 3.5080 0.0000 4.5361
Au 7.7472 0.0000 0.9874
Au 4.5723 -1.8358 0.9641
Au 6.6830 -1.8358 4.5595
```

Output
formation enthalpy at 0 K	-0.522	eV per atom